(1)
Crystalline Dy5ZrIn4 at its relaxed geometry, computed with PBE.

The structure in CIF format:
```
data_Dy5ZrIn4
_chemical_formula_sum 'Dy5 Zr1 In4'
_cell_length_a 3.4900
_cell_length_b 3.4900
_cell_length_c 21.8525
_cell_angle_alpha 90.00
_cell_angle_beta 90.00
_cell_angle_gamma 90.00
_symmetry_space_group_name_H-M 'P 4/m m m'
_symmetry_Int_Tables_number 123
_symmetry_space_group_name_Hall '-P 4 2'
loop_
_atom_site_label
_atom_site_fract_x
_atom_site_fract_y
_atom_site_fract_z
Dy1 0.0000 0.0000 0.0000
Dy2 0.0000 0.0000 0.1979
Dy3 0.0000 0.0000 0.3963
Zr1 0.5000 0.5000 0.5000
In1 0.5000 0.5000 0.0988
In2 0.5000 0.5000 0.2959
```

---

(2)
Crystalline U2MnNi3Ge4 at its relaxed geometry, computed with PBE.

The structure in CIF format:
```
data_U2MnNi3Ge4
_chemical_formula_sum 'U2 Mn1 Ni3 Ge4'
_cell_length_a 4.1234
_cell_length_b 4.1234
_cell_length_c 9.5248
_cell_angle_alpha 90.00
_cell_angle_beta 90.00
_cell_angle_gamma 90.00
_symmetry_space_group_name_H-M 'P -4 m 2'
_symmetry_Int_Tables_number 115
loop_
_symmetry_equiv_pos_as_xyz
'x,y,z'
'y,-x,-z'
'-x,-y,z'
'-y,x,-z'
'-x,y,z'
'-y,-x,-z'
'x,-y,z'
'y,x,-z'
loop_
_atom_site_label
_atom_site_fract_x
_atom_site_fract_y
_atom_site_fract_z
U1 0.0000 0.5000 0.2438
Mn1 0.5000 0.5000 0.0000
Ni1 0.0000 0.0000 0.0000
Ni2 0.0000 0.5000 0.6211
Ge1 0.0000 0.0000 0.5000
Ge2 0.0000 0.5000 0.8634
Ge3 0.5000 0.5000 0.5000
```

---

(3)
# NaTb2Sm3Se6 | the Alexandria database | PBE | optimized geometry
data_NaTb2Sm3Se6
_chemical_formula_sum 'Na2 Tb4 Sm6 Se12'
_cell_length_a 7.1584
_cell_length_b 12.4156
_cell_length_c 7.2180
_cell_angle_alpha 90.00
_cell_angle_beta 109.41
_cell_angle_gamma 90.00
_symmetry_space_group_name_H-M 'C 1 2/m 1'
_symmetry_Int_Tables_number 12
loop_
_symmetry_equiv_pos_as_xyz
'x,y,z'
'-x,-y,-z'
'-x,y,-z'
'x,-y,z'
'x+1/2,y+1/2,z'
'-x+1/2,-y+1/2,-z'
'-x+1/2,y+1/2,-z'
'x+1/2,-y+1/2,z'
loop_
_atom_site_label
_atom_site_fract_x
_atom_site_fract_y
_atom_site_fract_z
Na1 0.0000 0.0000 0.0000
Tb1 0.0000 0.3344 0.0000
Sm1 0.0000 0.1630 0.5000
Sm2 0.0000 0.5000 0.5000
Se1 0.2475 0.5000 0.2395
Se2 0.2485 0.1673 0.2453
# * uncorrected formation energy: -1.77 eV per atom

---

(4)
# Cs3AgCl | the Alexandria database | PBE | optimized geometry
data_Cs3AgCl
_chemical_formula_sum 'Cs3 Ag1 Cl1'
_cell_length_a 6.7106
_cell_length_b 6.7106
_cell_length_c 6.7106
_cell_angle_alpha 90.00
_cell_angle_beta 90.00
_cell_angle_gamma 90.00
_symmetry_space_group_name_H-M 'P m -3 m'
_symmetry_Int_Tables_number 221
_symmetry_space_group_name_Hall '-P 4 2 3'
loop_
_atom_site_label
_atom_site_fract_x
_atom_site_fract_y
_atom_site_fract_z
Cs1 0.0000 0.0000 0.5000
Ag1 0.5000 0.5000 0.5000
Cl1 0.0000 0.0000 0.0000
# * E above lowest polymorph: 0.054 eV per atom
# * uncorrected formation energy: -0.66 eV per atom

---

(5)
# MnSiP2 | the Alexandria database | PBE | optimized geometry
data_MnSiP2
_chemical_formula_sum 'Mn1 Si1 P2'
_cell_length_a 2.8004
_cell_length_b 2.8004
_cell_length_c 6.4611
_cell_angle_alpha 90.00
_cell_angle_beta 90.00
_cell_angle_gamma 90.00
_symmetry_space_group_name_H-M 'P 4/m m m'
_symmetry_Int_Tables_number 123
_symmetry_space_group_name_Hall '-P 4 2'
loop_
_atom_site_label
_atom_site_fract_x
_atom_site_fract_y
_atom_site_fract_z
Mn1 0.0000 0.0000 0.0000
Si1 0.0000 0.0000 0.5000
P1 0.5000 0.5000 0.2099
# * uncorrected formation energy: 0.07 eV per atom

---

(6)
# TmTl2Se3 | the Alexandria database | PBE | optimized geometry
data_TmTl2Se3
_chemical_formula_sum 'Tm4 Tl8 Se12'
_cell_length_a 7.2344
_cell_length_b 12.5606
_cell_length_c 8.0377
_cell_angle_alpha 90.00
_cell_angle_beta 107.27
_cell_angle_gamma 90.00
_symmetry_space_group_name_H-M 'C 1 2/m 1'
_symmetry_Int_Tables_number 12
loop_
_symmetry_equiv_pos_as_xyz
'x,y,z'
'-x,-y,-z'
'-x,y,-z'
'x,-y,z'
'x+1/2,y+1/2,z'
'-x+1/2,-y+1/2,-z'
'-x+1/2,y+1/2,-z'
'x+1/2,-y+1/2,z'
loop_
_atom_site_label
_atom_site_fract_x
_atom_site_fract_y
_atom_site_fract_z
Tm1 0.0000 0.1671 0.0000
Tl1 0.0000 0.0000 0.5000
Tl2 0.0000 0.3317 0.5000
Tl3 0.0000 0.5000 0.0000
Se1 0.2265 0.0000 0.2069
Se2 0.2399 0.3286 0.2070
# * uncorrected formation energy: -0.97 eV per atom

---

(7)
# HfMg3Tl | the Alexandria database | PBE | optimized geometry
data_HfMg3Tl
_chemical_formula_sum 'Hf1 Mg3 Tl1'
_cell_length_a 5.1931
_cell_length_b 5.1931
_cell_length_c 5.1931
_cell_angle_alpha 90.00
_cell_angle_beta 90.00
_cell_angle_gamma 90.00
_symmetry_space_group_name_H-M 'P m -3 m'
_symmetry_Int_Tables_number 221
_symmetry_space_group_name_Hall '-P 4 2 3'
loop_
_atom_site_label
_atom_site_fract_x
_atom_site_fract_y
_atom_site_fract_z
Hf1 0.0000 0.0000 0.0000
Mg1 0.0000 0.5000 0.5000
Tl1 0.5000 0.5000 0.5000
# * E above lowest polymorph: 0.000 eV per atom

---

(8)
# CaBePt | the Alexandria database | PBE | optimized geometry
data_CaBePt
_chemical_formula_sum 'Ca4 Be4 Pt4'
_cell_length_a 5.1599
_cell_length_b 5.5766
_cell_length_c 7.0132
_cell_angle_alpha 90.00
_cell_angle_beta 90.00
_cell_angle_gamma 90.00
_symmetry_space_group_name_H-M 'I m m a'
_symmetry_Int_Tables_number 74
_symmetry_space_group_name_Hall '-I 2b 2'
loop_
_atom_site_label
_atom_site_fract_x
_atom_site_fract_y
_atom_site_fract_z
Ca1 0.0000 0.2500 0.1260
Be1 0.2500 0.2500 0.7500
Pt1 0.0000 0.0000 0.5000
# * E above lowest polymorph: 0.128 eV per atom

---

(9)
Crystalline Ti2FeHgOs at its relaxed geometry, computed with PBE.

The structure in CIF format:
```
data_Ti2FeHgOs
_chemical_formula_sum 'Ti2 Fe1 Hg1 Os1'
_cell_length_a 4.4542
_cell_length_b 4.4542
_cell_length_c 4.4896
_cell_angle_alpha 90.00
_cell_angle_beta 90.00
_cell_angle_gamma 90.00
_symmetry_space_group_name_H-M 'P 4/m m m'
_symmetry_Int_Tables_number 123
_symmetry_space_group_name_Hall '-P 4 2'
loop_
_atom_site_label
_atom_site_fract_x
_atom_site_fract_y
_atom_site_fract_z
Ti1 0.0000 0.5000 0.0000
Fe1 0.0000 0.0000 0.0000
Hg1 0.5000 0.5000 0.5000
Os1 0.0000 0.0000 0.5000
```

---

(10)
# ZnAsP2 | the Alexandria database | PBE | optimized geometry
data_ZnAsP2
_chemical_formula_sum 'Zn2 As2 P4'
_cell_length_a 5.3264
_cell_length_b 9.4345
_cell_length_c 2.6707
_cell_angle_alpha 90.00
_cell_angle_beta 104.87
_cell_angle_gamma 90.00
_symmetry_space_group_name_H-M 'C 1 2/m 1'
_symmetry_Int_Tables_number 12
loop_
_symmetry_equiv_pos_as_xyz
'x,y,z'
'-x,-y,-z'
'-x,y,-z'
'x,-y,z'
'x+1/2,y+1/2,z'
'-x+1/2,-y+1/2,-z'
'-x+1/2,y+1/2,-z'
'x+1/2,-y+1/2,z'
loop_
_atom_site_label
_atom_site_fract_x
_atom_site_fract_y
_atom_site_fract_z
Zn1 0.0000 0.0000 0.0000
As1 0.0000 0.5000 0.0000
P1 0.2500 0.2500 0.5000
# * E above lowest polymorph: 0.463 eV per atom

---

(11)
# PdI2O2 | the Alexandria database | PBE | optimized geometry
data_PdI2O2
_chemical_formula_sum 'Pd1 I2 O2'
_cell_length_a 4.1566
_cell_length_b 4.1566
_cell_length_c 7.1838
_cell_angle_alpha 90.00
_cell_angle_beta 90.00
_cell_angle_gamma 90.00
_symmetry_space_group_name_H-M 'P 4/m m m'
_symmetry_Int_Tables_number 123
_symmetry_space_group_name_Hall '-P 4 2'
loop_
_atom_site_label
_atom_site_fract_x
_atom_site_fract_y
_atom_site_fract_z
Pd1 0.0000 0.0000 0.0000
I1 0.0000 0.0000 0.5000
I2 0.5000 0.5000 0.5000
O1 0.0000 0.5000 0.0000
# * E above lowest polymorph: 0.309 eV per atom
# * uncorrected formation energy: 0.42 eV per atom

---

(12)
Crystalline Er2MgSnC at its relaxed geometry, computed with PBE.

The structure in CIF format:
```
data_Er2MgSnC
_chemical_formula_sum 'Er2 Mg1 Sn1 C1'
_cell_length_a 4.8764
_cell_length_b 4.8764
_cell_length_c 4.4175
_cell_angle_alpha 90.00
_cell_angle_beta 90.00
_cell_angle_gamma 90.00
_symmetry_space_group_name_H-M 'P 4/m m m'
_symmetry_Int_Tables_number 123
_symmetry_space_group_name_Hall '-P 4 2'
loop_
_atom_site_label
_atom_site_fract_x
_atom_site_fract_y
_atom_site_fract_z
Er1 0.0000 0.5000 0.0000
Mg1 0.0000 0.0000 0.5000
Sn1 0.5000 0.5000 0.5000
C1 0.0000 0.0000 0.0000
```

---

DFT total energy
In order: -4.6088, -7.1059, -5.5745, -2.1100, -6.2872, -4.2482, -2.5913, -4.4814, -6.6599, -3.6790, -3.2190, -5.3017
Unit: eV per atom
V
In order: 26.62, 16.19, 25.21, 60.44, 12.67, 29.06, 28.01, 16.82, 17.81, 16.21, 24.82, 21.01
Unit: A^3/atom
Magnetic moment
In order: 0.00, 1.53, 0.00, 0.00, 0.00, 0.00, 0.00, 0.00, 0.00, 0.00, 2.18, 0.00
Unit: μB per formula unit